Below is an optimized crystal structure of KSi2Pd2, with properties calculated at the PBE level.

Geometry as extended XYZ:
```
10
Lattice="7.955 0.000 0.000 0.000 7.955 0.000 0.000 0.000 2.778" Properties=species:S:1:pos:R:3 pbc="T T T"
K 0.000 0.000 0.000
K 3.978 3.978 0.000
Si 1.098 2.879 1.389
Si 2.879 6.857 1.389
Si 5.076 1.098 1.389
Si 6.857 5.076 1.389
Pd 1.115 5.093 0.000
Pd 2.863 1.115 0.000
Pd 5.093 6.840 0.000
Pd 6.840 2.863 0.000
```

The symmetry is P4/mbm, No. 127. The calculation puts the total energy at -4.627 eV per atom. For the uncorrected formation energy, the calculation gives -0.162 eV per atom. The total magnetization comes out at 0.000 Bohr magnetons per cell. The polymorph energy (0 for the lowest one) is 0.255 eV/atom.